Material: CaZrCu2
Method: DFT, PBEsol
State: optimized geometry

Values from the calculation:
DOS(E_F) ... 3.53 states/eV/f.u.
Total moment ... 0.1 μB per formula unit
ρ ... 5.65 g/cm³
Raw total energy ... -5.0344 eV/atom
Space-group type ... P4/mmm
Energy of formation ... -0.062 eV per atom

Unit cell a=3.3356 b=3.3356 c=6.8226 alpha=90.00 beta=90.00 gamma=90.00
With the nearest neighbours (Å) after each atom.
Sites, in units of the cell vectors:
Ca1 0.0000 0.0000 0.0000  8 Cu 3.12, 4 Ca 3.34, 2 Zr 3.41
Zr1 0.0000 0.0000 0.5000  8 Cu 2.73
Cu1 0.5000 0.5000 0.2984  4 Zr 2.73, 1 Cu 2.75
Cu2 0.5000 0.5000 0.7016  4 Zr 2.73, 1 Cu 2.75